#one
The following is a DFT calculation (PBE-GGA) of Zr3ZnGa after structural relaxation.

Geometry as POSCAR:
```
Zr3ZnGa
1.0
4.9448 0.0000 0.0000
0.0000 4.9448 0.0000
0.0000 0.0000 4.9448
Zr Zn Ga
3 1 1
Direct
0.0000 0.5000 0.0000
0.5000 0.0000 0.0000
0.0000 0.0000 0.5000
0.0000 0.0000 0.0000
0.5000 0.5000 0.5000
```

Properties
- size of the total moment (μB/f.u.) = 0.0



#two
The following is a DFT calculation (PBE-GGA) of Zr3ZnGa after structural relaxation.

Geometry as POSCAR:
```
Zr3ZnGa
1.0
-1.2540 -1.6248 5.8718
2.8624 -5.2394 1.7455
9.6292 5.2805 4.9805
Ga Zn Zr
4 4 12
Direct
0.7240 0.2760 0.2500
0.0000 0.5000 0.5000
0.5000 0.0000 0.0000
0.2760 0.7240 0.7500
0.3221 0.4914 0.1730
0.6779 0.5086 0.8270
0.4914 0.3221 0.6730
0.5086 0.6779 0.3270
0.3781 0.1675 0.3997
0.9214 0.7886 0.3107
0.0786 0.2114 0.6893
0.8325 0.6219 0.1003
0.1675 0.3781 0.8997
0.6219 0.8325 0.6003
0.7886 0.9214 0.8107
0.7846 0.2228 0.4758
0.7772 0.2154 0.0242
0.2228 0.7846 0.9758
0.2114 0.0786 0.1893
0.2154 0.7772 0.5242
```

Properties
- size of the total moment (μB/f.u.) = 0.0



Most favorable structure: #two. The second most favorable one is 0.511 eV/atom above it.



#one
The following is a DFT calculation (PBE-GGA) of Zr2Zn3Ga2 after structural relaxation.

Geometry as POSCAR:
```
Zr2Zn3Ga2
1.0
-0.7568 -0.2048 3.6629
-2.1670 -3.0467 -0.6181
8.3564 -3.8929 1.5087
Zn Zr Ga
3 2 2
Direct
0.0000 0.0000 0.0000
0.5000 0.4303 0.8607
0.5000 0.5697 0.1393
0.0000 0.8357 0.6714
0.0000 0.1643 0.3286
0.5000 0.2920 0.5840
0.5000 0.7080 0.4160
```

Properties
- size of the total moment (μB/f.u.) = 0.0



#two
The following is a DFT calculation (PBE-GGA) of Zr2Zn3Ga2 after structural relaxation.

Geometry as POSCAR:
```
Zr2Zn3Ga2
1.0
4.1103 0.0000 0.0000
-2.0551 4.7083 -1.5787
0.0000 -0.4345 6.3387
Zn Zr Ga
3 2 2
Direct
0.4040 0.8081 0.5718
0.5960 0.1919 0.4282
0.5000 0.0000 0.0000
0.1550 0.3100 0.7762
0.8450 0.6900 0.2238
0.1471 0.2943 0.2363
0.8529 0.7057 0.7637
```

Properties
- size of the total moment (μB/f.u.) = 0.0



Most favorable structure: #two. The second most favorable one is 0.136 eV/atom above it.



#one
The following is a DFT calculation (PBE-GGA) of Zr6ZnGa after structural relaxation.

Geometry as POSCAR:
```
Zr6ZnGa
1.0
-4.5329 1.9735 0.9594
2.2379 0.4785 4.4861
1.1172 7.2915 0.9461
Zr Zn Ga
6 1 1
Direct
0.3840 0.8840 0.2321
0.6160 0.1160 0.7679
0.2516 0.2516 0.4968
0.8839 0.3840 0.2321
0.7484 0.7484 0.5032
0.1161 0.6160 0.7679
0.0000 0.0000 0.0000
0.5000 0.5000 0.0000
```

Properties
- size of the total moment (μB/f.u.) = 0.0



#two
The following is a DFT calculation (PBE-GGA) of Zr6ZnGa after structural relaxation.

Geometry as POSCAR:
```
Zr6ZnGa
1.0
7.7819 0.0037 0.2701
3.8837 6.7486 0.1073
3.7753 2.2626 3.3044
Zn Zr Ga
1 6 1
Direct
0.0000 0.0000 0.0000
0.7503 0.0002 0.7493
0.4999 0.2495 0.2506
0.0009 0.4996 0.7491
0.9991 0.5004 0.2509
0.5001 0.7505 0.7494
0.2497 0.9998 0.2507
0.5000 0.5000 0.5000
```

Properties
- size of the total moment (μB/f.u.) = 0.0



Most favorable structure: #two. The second most favorable one is 0.029 eV/atom above it.